Record 1
A relaxed HfNiTe2N crystal. Source: Alexandria, functional PBE.

Results
- Offset from the most stable computed form: 127.1 meV/atom
- Size of the total moment: 0.73 Bohr magnetons per cell

Cell lengths 5.677, 5.677, 3.911 Å; angles 90.00, 90.00, 90.00 degrees
Space group P4/mmm (No. 123)
Inequivalent atoms, fractional coordinates:
1 Hf 0.000 0.000 0.000 x1
2 Ni 0.500 0.500 0.500 x1
3 Te 0.000 0.500 0.000 x2
4 N 0.000 0.000 0.500 x1


Record 2
A relaxed HfNiTe2N crystal. Source: Alexandria, functional PBE.

Results
- Offset from the most stable computed form: 0.0 meV/atom
- Size of the total moment: 0.97 Bohr magnetons per cell

Cell lengths 5.272, 5.272, 3.505 Å; angles 90.00, 90.00, 90.00 degrees
Space group P4/mmm (No. 123)
Inequivalent atoms, fractional coordinates:
1 Hf 0.000 0.000 0.000 x1
2 Ni 0.500 0.500 0.500 x1
3 Te 0.000 0.500 0.500 x2
4 N 0.500 0.500 0.000 x1


Record 3
A relaxed Hf2ThNiN4 crystal. Source: Alexandria, functional PBE.

Results
- Size of the total moment: 0.00 Bohr magnetons per cell

Cell lengths 3.285, 10.898, 11.049 Å; angles 90.00, 90.00, 90.00 degrees
Space group Cmcm (No. 63)
Inequivalent atoms, fractional coordinates:
1 Hf 0.000 0.132 0.058 x8
2 Th 0.000 0.393 0.250 x4
3 Ni 0.000 0.341 0.750 x4
4 N 0.000 0.051 0.250 x4
5 N 0.000 0.229 0.611 x8
6 N 0.000 0.500 0.000 x4


Record 4
A relaxed HfTi3Ni2N crystal. Source: Alexandria, functional PBE.

Results
- Size of the total moment: 0.00 Bohr magnetons per cell

Cell lengths 4.034, 4.258, 12.200 Å; angles 90.00, 90.00, 90.00 degrees
Space group Immm (No. 71)
Inequivalent atoms, fractional coordinates:
1 Hf 0.000 0.000 0.000 x2
2 Ti 0.000 0.000 0.500 x2
3 Ti 0.000 0.500 0.182 x4
4 Ni 0.000 0.500 0.365 x4
5 N 0.000 0.500 0.000 x2


Record 5
A relaxed Hf2VNiN crystal. Source: Alexandria, functional PBE.

Results
- Size of the total moment: 1.02 Bohr magnetons per cell

Cell lengths 4.392, 4.392, 3.837 Å; angles 90.00, 90.00, 90.00 degrees
Space group P4/mmm (No. 123)
Inequivalent atoms, fractional coordinates:
1 Hf 0.000 0.500 0.000 x2
2 V 0.000 0.000 0.500 x1
3 Ni 0.500 0.500 0.500 x1
4 N 0.000 0.000 0.000 x1


Record 6
A relaxed Hf2NpN3 crystal. Source: Alexandria, functional PBE.

Results
- Size of the total moment: 6.08 Bohr magnetons per cell

Cell lengths 3.258, 4.641, 9.971 Å; angles 90.00, 90.00, 90.00 degrees
Space group Immm (No. 71)
Inequivalent atoms, fractional coordinates:
1 Hf 0.000 0.000 0.169 x4
2 Np 0.000 0.000 0.500 x2
3 N 0.000 0.500 0.177 x4
4 N 0.000 0.500 0.500 x2


Record 7
A relaxed Hf3NpN4 crystal. Source: Alexandria, functional PBE.

Results
- Offset from the most stable computed form: 197.8 meV/atom
- Size of the total moment: 7.16 Bohr magnetons per cell

Cell lengths 4.607, 7.643, 6.598 Å; angles 90.00, 90.00, 90.00 degrees
Space group Pmmn (No. 59, origin choice 2)
Inequivalent atoms, fractional coordinates:
1 Hf 0.250 0.001 0.167 x4
2 Hf 0.250 0.750 0.677 x2
3 Np 0.250 0.250 0.657 x2
4 N 0.250 0.250 0.309 x2
5 N 0.250 0.506 0.843 x4
6 N 0.250 0.750 0.335 x2


Record 8
A relaxed HfNpN3 crystal. Source: Alexandria, functional PBE.

Results
- Size of the total moment: 12.00 Bohr magnetons per cell

Cell lengths 5.4615, 5.4615, 15.9719 Å; angles 90.00, 90.00, 120.00 degrees
Space group R32 (No. 155, hexagonal axes)
Inequivalent atoms, fractional coordinates:
1 Hf 0.0000 0.0000 0.1456 x6
2 Np 0.0000 0.0000 0.3481 x6
3 N 0.0136 0.3027 0.7505 x18


Record 9
A relaxed Hf2NpN crystal. Source: Alexandria, functional PBE.

Results
- Size of the total moment: 11.66 Bohr magnetons per cell

Cell lengths 3.1519, 3.1519, 24.9557 Å; angles 90.00, 90.00, 120.00 degrees
Space group R-3m (No. 166, hexagonal axes)
Inequivalent atoms, fractional coordinates:
1 Hf 0.0000 0.0000 0.2191 x6
2 Np 0.0000 0.0000 0.0000 x3
3 N 0.0000 0.0000 0.5000 x3


Record 10
A relaxed Hf5NpN6 crystal. Source: Alexandria, functional PBE.

Results
- Size of the total moment: 5.87 Bohr magnetons per cell

Cell lengths 5.629, 9.738, 5.627 Å; angles 90.00, 109.58, 90.00 degrees
Space group C2/m (No. 12)
Inequivalent atoms, fractional coordinates:
1 Hf 0.000 0.000 0.000 x2
2 Hf 0.000 0.168 0.500 x4
3 Hf 0.000 0.331 0.000 x4
4 Np 0.000 0.500 0.500 x2
5 N 0.244 0.000 0.756 x4
6 N 0.244 0.170 0.243 x8


Record 11
A relaxed Hf3NpN4 crystal. Source: Alexandria, functional PBE.

Results
- Offset from the most stable computed form: 0.0 meV/atom
- Size of the total moment: 5.89 Bohr magnetons per cell

Cell lengths 6.572, 9.229, 3.244 Å; angles 90.00, 90.00, 90.00 degrees
Space group Cmmm (No. 65)
Inequivalent atoms, fractional coordinates:
1 Hf 0.000 0.000 0.000 x2
2 Hf 0.250 0.250 0.500 x4
3 Np 0.000 0.500 0.000 x2
4 N 0.000 0.244 0.000 x4
5 N 0.236 0.000 0.500 x4


Record 12
A relaxed HfNp4N6 crystal. Source: Alexandria, functional PBE.

Results
- Size of the total moment: 83.94 Bohr magnetons per cell

Cell lengths 9.6128, 9.6128, 11.4643 Å; angles 90.00, 90.00, 120.00 degrees
Space group R-3c (No. 167, hexagonal axes)
Inequivalent atoms, fractional coordinates:
1 Hf 0.0000 0.0000 0.0000 x6
2 Np 0.0000 0.0000 0.2500 x6
3 Np 0.0000 0.3544 0.2500 x18
4 N 0.0247 0.1932 0.3855 x36


Energy relative to the elements, uncorrected across the listed records, respectively: 2.26; 1.62; -11.59; -3.95; -3.71; -9.29; -11.35; -5.14; -2.71; -19.86; -12.93; -12.09 eV per formula unit.
Density of states at the Fermi level across the listed records, respectively: 7.82; 4.73; 8.24; 8.32; 3.03; 12.69; 13.72; 18.06; 14.41; 16.46; 11.72; 114.80 states/eV/cell.